[1]
The following is a DFT calculation (GGA-PBE) of a relaxed structure of ThCuNiAu.

Computed properties:
Energy relative to the elements in eV per formula unit: -1.095
Energy in eV per atom: -5.418
DOS(E_F) in states/eV/atom: 0.917

abc: 4.7107 4.7107 4.7107
angles: 60.00 60.00 60.00
Last column: nearest neighbours and their distance in Å.
Element x y z (fractional)
Ni (0.2500, 0.2500, 0.2500)  4 Au 2.88, 4 Th 2.88
Au (0.5000, 0.5000, 0.5000)  4 Ni 2.88, 4 Cu 2.88
Cu (0.7500, 0.7500, 0.7500)  4 Th 2.88, 4 Au 2.88
Th (0.0000, 0.0000, 0.0000)  4 Cu 2.88, 4 Ni 2.88

[2]
The following is a DFT calculation (GGA-PBE) of a relaxed structure of Ce5AlOs5.

Computed properties:
Energy relative to the elements in eV per formula unit: 0.171
Energy in eV per atom: -8.126
DOS(E_F) in states/eV/atom: 0.609

abc: 5.3394 6.5630 8.4866
angles: 108.69 90.00 114.00
Last column: nearest neighbours and their distance in Å.
Element x y z (fractional)
Ce (0.6792, 0.3585, 0.3293)  4 Os 2.71-3.00
Ce (0.6778, 0.3556, 0.8487)  5 Os 2.73-3.01
Ce (0.0000, 0.0000, 0.5000)  4 Os 2.58-2.64
Ce (0.3222, 0.6444, 0.1513)  5 Os 2.73-3.01
Ce (0.3208, 0.6415, 0.6707)  4 Os 2.71-3.00
Al (0.0000, 0.0000, 0.0000)  6 Os 2.53-2.67
Os (0.8736, 0.7471, 0.1836)  1 Al 2.53, 3 Ce 2.58-2.73
Os (0.8643, 0.7287, 0.6868)  1 Al 2.58, 3 Ce 2.64-2.71
Os (0.5000, 0.0000, 0.0000)  2 Al 2.67, 4 Ce 2.85-2.87
Os (0.1357, 0.2713, 0.3132)  1 Al 2.58, 3 Ce 2.64-2.71
Os (0.1264, 0.2529, 0.8164)  1 Al 2.53, 3 Ce 2.58-2.73

[3]
The following is a DFT calculation (GGA-PBE) of a relaxed structure of Mg3Sb.

Computed properties:
Energy relative to the lowest polymorph listed for this composition in eV per formula unit: 0.12
Energy in eV per atom: -2.369
Formation energy (no corrections) in eV per atom: -0.14
DOS(E_F) in states/eV/atom: 0.303

abc: 6.2389 6.2389 5.4732
angles: 90.00 90.00 120.00
Last column: nearest neighbours and their distance in Å.
Element x y z (fractional)
Mg (0.8342, 0.6684, 0.2500)  8 Mg 3.10-3.27, 4 Sb 3.12-3.28
Mg (0.3316, 0.1658, 0.2500)  8 Mg 3.10-3.27, 4 Sb 3.12-3.28
Mg (0.8342, 0.1658, 0.2500)  8 Mg 3.10-3.27, 4 Sb 3.12-3.28
Mg (0.1658, 0.3316, 0.7500)  8 Mg 3.10-3.27, 4 Sb 3.12-3.28
Mg (0.6684, 0.8342, 0.7500)  8 Mg 3.10-3.27, 4 Sb 3.12-3.28
Mg (0.1658, 0.8342, 0.7500)  8 Mg 3.10-3.27, 4 Sb 3.12-3.28
Sb (0.3333, 0.6667, 0.2500)  12 Mg 3.12-3.28
Sb (0.6667, 0.3333, 0.7500)  12 Mg 3.12-3.28

[4]
The following is a DFT calculation (GGA-PBE) of a relaxed structure of Ac6La2PrY.

Computed properties:
Energy relative to the elements in eV per formula unit: 1.147
Energy in eV per atom: -4.460
DOS(E_F) in states/eV/atom: 1.700

abc: 10.8090 9.3917 9.3917
angles: 116.57 97.17 97.17
Last column: nearest neighbours and their distance in Å.
Element x y z (fractional)
Ac (0.0567, 0.1116, 0.7399)  1 Pr 3.73, 2 La 3.79-3.97, 6 Ac 3.79-4.09, 1 Y 4.02
Ac (0.4433, 0.2601, 0.8884)  1 Pr 3.73, 2 La 3.79-3.97, 6 Ac 3.79-4.09, 1 Y 4.02
Ac (0.9433, 0.8884, 0.2601)  1 Pr 3.73, 2 La 3.79-3.97, 6 Ac 3.79-4.09, 1 Y 4.02
Ac (0.5567, 0.7399, 0.1116)  1 Pr 3.73, 2 La 3.79-3.97, 6 Ac 3.79-4.09, 1 Y 4.02
Ac (0.3178, 0.9930, 0.4209)  1 Y 3.66, 1 La 3.70, 5 Ac 3.78-4.00, 1 Pr 3.83
Ac (0.1822, 0.5791, 0.0070)  1 Y 3.66, 1 La 3.70, 5 Ac 3.78-4.00, 1 Pr 3.83
Ac (0.6822, 0.0070, 0.5791)  1 Y 3.66, 1 La 3.70, 5 Ac 3.78-4.00, 1 Pr 3.83
Ac (0.8178, 0.4209, 0.9930)  1 Y 3.66, 1 La 3.70, 5 Ac 3.78-4.00, 1 Pr 3.83
Ac (0.1134, 0.6863, 0.4952)  3 La 3.54-3.78, 2 Y 3.62-3.82, 4 Ac 3.78-3.93
Ac (0.3866, 0.5048, 0.3137)  3 La 3.54-3.78, 2 Y 3.62-3.82, 4 Ac 3.78-3.93
Ac (0.8866, 0.3137, 0.5048)  3 La 3.54-3.78, 2 Y 3.62-3.82, 4 Ac 3.78-3.93
Ac (0.6134, 0.4952, 0.6863)  3 La 3.54-3.78, 2 Y 3.62-3.82, 4 Ac 3.78-3.93
La (0.4521, 0.8146, 0.7344)  2 Pr 3.49-3.56, 5 Ac 3.54-3.79, 1 Y 3.76
La (0.0479, 0.2656, 0.1854)  2 Pr 3.49-3.56, 5 Ac 3.54-3.79, 1 Y 3.76
La (0.5479, 0.1854, 0.2656)  2 Pr 3.49-3.56, 5 Ac 3.54-3.79, 1 Y 3.76
La (0.9521, 0.7344, 0.8146)  2 Pr 3.49-3.56, 5 Ac 3.54-3.79, 1 Y 3.76
Pr (0.2500, 0.9903, 0.0097)  4 La 3.49-3.56, 4 Ac 3.73-3.83
Pr (0.7500, 0.0097, 0.9903)  4 La 3.49-3.56, 4 Ac 3.73-3.83
Y (0.2500, 0.4028, 0.5972)  8 Ac 3.62-4.02, 2 La 3.76
Y (0.7500, 0.5972, 0.4028)  8 Ac 3.62-4.02, 2 La 3.76